(1)
Entry from the Alexandria database: SrMnSe4O12 after structural relaxation (GGA+U).

Calculated values
Its total magnetization is 0.276 μB/atom. The electronic total energy is -5.355 eV/atom. The value obtained for the density of states at the Fermi level is 3.6 states/eV/cell.

Geometry as POSCAR:
```
SrMnSe4O12
1.0
3.7859 -4.3944 0.0000
3.7859 4.3944 0.0000
0.0000 0.0000 7.4319
Se O Sr Mn
4 12 1 1
Cartesian
5.8374 -1.9405 1.8077
1.7343 -1.9405 1.8077
5.8374 -1.9405 5.6242
1.7343 -1.9405 5.6242
1.4028 -0.3155 5.6290
3.7859 -1.5615 5.5065
5.2525 -2.1497 0.0000
3.7859 1.6664 1.3559
2.0789 2.0111 3.7160
5.4928 2.0111 3.7160
3.7859 1.6664 6.0760
2.3192 -2.1497 0.0000
3.7859 -1.5615 1.9254
1.4028 -0.3155 1.8030
6.1689 -0.3155 5.6290
6.1689 -0.3155 1.8030
3.7859 -3.8027 3.7160
3.7859 -0.2547 0.0000
```


(2)
Entry from the Alexandria database: SrMnSeO6 after structural relaxation (GGA+U).

Calculated values
Its total magnetization is 0.333 μB/atom. The electronic total energy is -6.221 eV/atom. The value obtained for the density of states at the Fermi level is 0.0 states/eV/cell.

Geometry as POSCAR:
```
SrMnSeO6
1.0
-3.1327 3.2492 2.1446
-2.3119 -1.2014 4.2632
4.1354 2.1141 2.8418
O Sr Mn Se
6 1 1 1
Cartesian
1.6601 2.6593 2.8325
-0.6799 2.6184 2.2499
-1.3127 1.1281 4.2821
0.0858 3.0027 4.8710
1.4045 0.7790 4.6070
0.3595 0.2496 2.4982
-1.3092 4.1618 9.2495
-1.5621 2.4222 5.6927
0.2529 1.7393 3.5568
```


(3)
Entry from the Alexandria database: Sr2MnSeO6 after structural relaxation (GGA+U).

Calculated values
Its total magnetization is 0.500 μB/atom. The electronic total energy is -6.280 eV/atom. The value obtained for the density of states at the Fermi level is 0.0 states/eV/cell.

Geometry as POSCAR:
```
Sr2MnSeO6
1.0
5.6230 0.0438 0.0021
0.0436 5.6233 -0.0037
2.8315 2.8359 3.9449
Se O Sr Mn
1 6 2 1
Cartesian
2.8333 2.8336 -0.0008
1.5436 4.1215 0.2661
5.4770 5.8589 2.1217
3.0210 2.6442 1.8216
6.9544 4.3815 3.6772
4.1376 4.1397 0.0005
4.3604 4.3633 3.9428
2.8543 5.6463 1.9701
5.6437 2.8567 1.9732
0.0000 0.0000 0.0000
```


(4)
Entry from the Alexandria database: Sr2Mn2SeO4 after structural relaxation (GGA+U).

Calculated values
Its total magnetization is 0.889 μB/atom. The electronic total energy is -6.655 eV/atom.

Geometry as POSCAR:
```
Sr2Mn2SeO4
1.0
6.3391 0.0000 0.0000
0.0000 9.6964 0.0000
0.0000 0.0000 10.4516
O Se Mn Sr
16 4 8 8
Cartesian
2.7049 2.2430 9.1442
0.6489 0.2228 9.1203
2.5207 5.0710 6.5571
5.6902 9.4736 3.8945
3.8184 4.6254 1.3313
0.4646 7.0912 6.5332
3.6341 7.4534 1.3074
0.6489 0.2228 6.5571
3.6341 7.4534 3.9184
2.7049 2.2430 6.5332
5.8745 2.6052 1.3074
3.8184 4.6254 3.8945
5.6902 9.4736 1.3313
2.5207 5.0710 9.1203
5.8745 2.6052 3.9184
0.4646 7.0912 9.1442
5.7666 3.7288 7.8387
0.5725 5.9676 2.6129
3.7421 8.5770 7.8387
2.5970 1.1194 2.6129
6.1365 1.1758 2.6129
4.5919 8.5369 2.6129
0.2026 8.5206 7.8387
1.7472 1.1595 7.8387
2.9670 3.6724 7.8387
3.3721 6.0240 2.6129
1.4224 6.0077 7.8387
4.9167 3.6887 2.6129
4.6397 6.1003 5.7356
4.8689 1.2521 9.9418
1.4702 8.4443 4.7160
1.6994 3.5961 4.7160
1.6994 3.5961 0.5098
4.6397 6.1003 9.9418
4.8689 1.2521 5.7356
1.4702 8.4443 0.5098
```


(5)
Entry from the Alexandria database: SrMn2SeO8 after structural relaxation (GGA+U).

Calculated values
Its total magnetization is 0.333 μB/atom. The electronic total energy is -6.094 eV/atom. The value obtained for the density of states at the Fermi level is 0.1 states/eV/cell.

Geometry as POSCAR:
```
SrMn2SeO8
1.0
4.9878 0.9326 0.0988
1.0333 4.9690 0.1018
0.1724 0.1609 7.4277
O Sr Mn Se
8 1 2 1
Cartesian
1.8778 1.8323 4.3776
2.0999 4.1027 1.6077
4.0936 1.9597 6.0207
2.0448 4.0460 6.0208
1.5578 1.5171 7.1831
4.3157 4.2301 3.2507
4.6357 4.5454 0.4452
4.1487 2.0164 1.6075
0.0862 0.0804 3.7139
2.3762 2.3223 5.8908
3.8173 3.7401 1.7376
0.0000 0.0000 0.0000
```


(6)
Entry from the Alexandria database: SrMn2SeO2 after structural relaxation (GGA+U).

Calculated values
Its total magnetization is 1.667 μB/atom. The electronic total energy is -6.538 eV/atom.

Geometry as POSCAR:
```
SrMn2SeO2
1.0
-3.6924 1.4448 -4.5775
-4.1198 -5.9196 1.4548
-2.6924 3.5910 3.3052
O Se Mn Sr
4 2 4 2
Cartesian
-5.8714 -1.1382 2.3738
-5.9506 -3.8791 1.5726
-4.6332 0.2543 -2.1914
-4.5540 2.9952 -1.3902
-4.3543 2.3670 2.2564
-6.1503 -3.2508 -2.0740
-7.4010 -2.0367 1.4235
-3.1035 1.1528 -1.2410
-4.8554 1.8383 -3.4129
-5.6492 -2.7222 3.5953
-6.4485 2.0078 -0.1737
-4.0561 -2.8917 0.3561
```


(7)
Entry from the Alexandria database: TaMnSe2O after structural relaxation (GGA+U).

Calculated values
Its total magnetization is 0.868 μB/atom. The electronic total energy is -6.067 eV/atom. The value obtained for the density of states at the Fermi level is 2.9 states/eV/cell.

Geometry as POSCAR:
```
TaMnSe2O
1.0
-1.0987 -4.7144 0.0932
2.8193 -0.6122 2.2657
-2.8962 0.7503 3.8066
Mn Se Ta O
1 2 1 1
Cartesian
1.4096 -0.3061 1.1329
-1.4481 0.3751 1.9033
-0.5494 -2.3572 0.0466
-0.5879 -2.2882 3.0828
0.0000 0.0000 0.0000
```


(8)
Entry from the Alexandria database: TiMnSe2O after structural relaxation (GGA+U).

Calculated values
Its total magnetization is 0.867 μB/atom. The electronic total energy is -5.030 eV/atom. The value obtained for the density of states at the Fermi level is 9.6 states/eV/cell.

Geometry as POSCAR:
```
TiMnSe2O
1.0
-1.0198 2.4536 3.9088
-5.3740 0.9578 -2.0033
-1.4892 -3.9639 2.0996
O Se Ti Mn
1 2 1 1
Cartesian
-3.9415 -0.2762 2.0026
-0.5099 1.2268 1.9544
-0.7446 -1.9819 1.0498
0.0000 0.0000 0.0000
-2.6870 0.4789 -1.0016
```


(9)
Entry from the Alexandria database: MnTl2Se2O6 after structural relaxation (GGA+U).

Calculated values
Its total magnetization is 0.455 μB/atom. The electronic total energy is -5.427 eV/atom. The value obtained for the density of states at the Fermi level is 0.0 states/eV/cell.

Geometry as POSCAR:
```
MnTl2Se2O6
1.0
5.9663 0.0000 0.0000
-2.9831 4.7596 0.0591
0.0000 -2.5750 7.0306
O Mn Se Tl
6 1 2 2
Cartesian
4.6128 -1.7344 4.9932
2.9831 0.9056 3.8954
0.0000 1.2790 3.1943
1.3535 -1.7344 4.9932
1.6296 3.9189 2.0965
-1.6296 3.9189 2.0965
2.9831 -1.2875 3.5153
2.9831 1.9537 5.2618
0.0000 0.2308 1.8279
0.0000 0.5319 5.7440
2.9831 1.6527 1.3457
```


(10)
Entry from the Alexandria database: MnTl3Se2O6 after structural relaxation (GGA+U).

Calculated values
Its total magnetization is 0.361 μB/atom. The electronic total energy is -5.071 eV/atom. The value obtained for the density of states at the Fermi level is 4.1 states/eV/cell.

Geometry as POSCAR:
```
MnTl3Se2O6
1.0
-3.9997 -1.4384 -4.0765
-1.3914 -0.2740 5.7161
-2.4667 7.5368 -0.2391
Tl Se O Mn
3 2 6 1
Cartesian
0.0000 0.0000 0.0000
-3.9751 4.5757 2.2857
-3.8827 1.2487 -0.8853
-2.8679 1.1925 2.3931
-4.9900 4.6319 -0.9926
-5.1660 3.7547 -2.4875
-3.3072 4.4232 -0.5930
-5.8126 3.6274 0.1690
-2.6919 2.0697 3.8879
-4.5506 1.4012 1.9934
-2.0452 2.1970 1.2315
-1.2334 3.7684 -0.1196
```


(11)
Entry from the Alexandria database: MnTlSe2O8 after structural relaxation (GGA+U).

Calculated values
Its total magnetization is 0.167 μB/atom. The electronic total energy is -5.478 eV/atom.

Geometry as POSCAR:
```
MnTlSe2O8
1.0
-0.9179 -3.9614 -2.9349
4.0002 -2.8879 -0.8985
-1.5328 -5.2039 6.4449
O Se Tl Mn
8 2 1 1
Cartesian
-0.7680 -6.6620 5.3667
2.3176 -5.3913 -2.7551
0.0703 -4.6361 -1.3534
2.5344 -4.0983 -0.3331
1.5586 -6.6126 -0.2784
-0.9849 -7.9550 2.9446
1.4792 -7.4171 3.9649
-0.0091 -5.4407 2.8899
-0.1027 -6.7899 3.8273
1.6522 -5.2634 -1.2157
-0.7664 -2.6020 3.2225
0.0000 0.0000 0.0000
```


(12)
Entry from the Alexandria database: Mn2TlSe2O6 after structural relaxation (GGA+U).

Calculated values
Its total magnetization is 0.736 μB/atom. The electronic total energy is -5.844 eV/atom. The value obtained for the density of states at the Fermi level is 3.4 states/eV/cell.

Geometry as POSCAR:
```
Mn2TlSe2O6
1.0
-7.0677 -2.9912 -2.5725
-5.2064 -6.3423 1.1966
0.5562 6.7801 2.2214
O Se Tl Mn
6 2 1 2
Cartesian
-5.3361 -3.2384 -0.6325
-9.4121 -5.0736 -1.3850
-2.3058 2.5201 2.2304
-6.6066 -0.8347 -1.1369
-5.1113 -1.7188 1.9824
-6.3818 0.6849 1.4780
-4.8255 0.0304 1.8685
-6.8925 -2.5838 -1.0230
-3.2557 1.8944 -0.1755
-3.9874 -2.9997 0.8743
-7.7305 0.4463 -0.0288
```